[1]
Here is a relaxed structure of BaSrN3 from the Alexandria database. Energies are from PBE.

Summary:
* energy relative to the elements, uncorrected: 1.283 eV per atom
* D(E_F): 3.8 states/eV per cell
* space-group type: Pm-3m (221)
* mass density: 4.6 g cm⁻³

a b c (Å): 4.5780 4.5780 4.5780
angles (deg): 90.00 90.00 90.00
Closest atoms and distances in Å follow each position.
Positions (direct):
Ba  0.0000  0.0000  0.0000  6 N 2.29
Sr  0.5000  0.5000  0.5000  12 N 3.24
N  0.0000  0.0000  0.5000  2 Ba 2.29
N  0.0000  0.5000  0.0000  2 Ba 2.29
N  0.5000  0.0000  0.0000  2 Ba 2.29



[2]
Here is a relaxed structure of Sc4CoHg from the Alexandria database. Energies are from PBE.

Summary:
* ΔE_f: -308 meV per atom
* D(E_F): 12.3 states/eV per cell
* space-group type: C2/c (15)
* distance to the lowest polymorph of the same formula: 0 meV/atom
* mass density: 5.7 g cm⁻³

a b c (Å): 7.1681 7.1681 5.5440
angles (deg): 99.12 99.12 110.53
Closest atoms and distances in Å follow each position.
Positions (direct):
Sc  0.0580  0.7282  0.9541  2 Co 2.51-2.55
Sc  0.2028  0.3622  0.6109  2 Co 2.76-2.80, 2 Hg 3.01-3.08
Sc  0.2718  0.9420  0.5459  2 Co 2.51-2.55
Sc  0.3622  0.2028  0.1109  2 Co 2.76-2.80, 2 Hg 3.01-3.08
Sc  0.6378  0.7972  0.8891  2 Co 2.76-2.80, 2 Hg 3.01-3.08
Sc  0.7282  0.0580  0.4541  2 Co 2.51-2.55
Sc  0.7972  0.6378  0.3891  2 Co 2.76-2.80, 2 Hg 3.01-3.08
Sc  0.9420  0.2718  0.0459  2 Co 2.51-2.55
Co  0.0012  0.9988  0.7500  8 Sc 2.51-2.80, 2 Co 2.77
Co  0.9988  0.0012  0.2500  8 Sc 2.51-2.80, 2 Co 2.77
Hg  0.3703  0.6297  0.2500  8 Sc 2.92-3.12
Hg  0.6297  0.3703  0.7500  8 Sc 2.92-3.12



[3]
Here is a relaxed structure of ScHg2Br from the Alexandria database. Energies are from PBE.

Summary:
* energy relative to the elements, uncorrected: -0.199 eV per atom
* D(E_F): 3.2 states/eV per cell
* space-group type: F-43m (216)
* distance to the lowest polymorph of the same formula: 330 meV/atom
* mass density: 9.2 g cm⁻³

a b c (Å): 5.1137 5.1137 5.1137
angles (deg): 60.00 60.00 60.00
Closest atoms and distances in Å follow each position.
Positions (direct):
Sc  0.0000  0.0000  0.0000  4 Hg 3.13, 4 Br 3.13
Hg  0.5000  0.5000  0.5000  4 Hg 3.13, 4 Br 3.13
Hg  0.7500  0.7500  0.7500  4 Sc 3.13, 4 Hg 3.13
Br  0.2500  0.2500  0.2500  4 Hg 3.13, 4 Sc 3.13



[4]
Here is a relaxed structure of ScTe8 from the Alexandria database. Energies are from PBE.

Summary:
* energy relative to the elements, uncorrected: -0.181 eV per atom
* D(E_F): 1.5 states/eV per cell
* space-group type: I4/mmm (139)
* mass density: 5.2 g cm⁻³

a b c (Å): 9.1569 9.1569 9.1569
angles (deg): 93.13 93.13 152.98
Closest atoms and distances in Å follow each position.
Positions (direct):
Sc  0.0000  0.0000  0.0000  12 Te 3.06-3.38
Te  0.0000  0.2433  0.2433  1 Sc 3.06, 4 Te 3.08
Te  0.0000  0.7567  0.7567  1 Sc 3.06, 4 Te 3.08
Te  0.2433  0.0000  0.2433  1 Sc 3.06, 4 Te 3.08
Te  0.3530  0.3530  0.7061  4 Te 3.08, 2 Sc 3.38
Te  0.3530  0.6470  0.0000  4 Te 3.08, 2 Sc 3.38
Te  0.6470  0.3530  0.0000  4 Te 3.08, 2 Sc 3.38
Te  0.6470  0.6470  0.2939  4 Te 3.08, 2 Sc 3.38
Te  0.7567  0.0000  0.7567  1 Sc 3.06, 4 Te 3.08



[5]
Here is a relaxed structure of HfTi3 from the Alexandria database. Energies are from PBE.

Summary:
* ΔE_f: 21 meV per atom
* D(E_F): 7.9 states/eV per cell
* space-group type: P6_3/mmc (194)
* mass density: 7.2 g cm⁻³

a b c (Å): 6.0282 6.0282 4.7290
angles (deg): 90.00 90.00 120.00
Closest atoms and distances in Å follow each position.
Positions (direct):
Hf  0.3333  0.6667  0.2500  12 Ti 2.97-3.01
Hf  0.6667  0.3333  0.7500  12 Ti 2.97-3.01
Ti  0.1612  0.3223  0.7500  8 Ti 2.90-3.11, 4 Hf 2.97-3.01
Ti  0.1612  0.8388  0.7500  8 Ti 2.90-3.11, 4 Hf 2.97-3.01
Ti  0.3223  0.1612  0.2500  8 Ti 2.90-3.11, 4 Hf 2.97-3.01
Ti  0.6777  0.8388  0.7500  8 Ti 2.90-3.11, 4 Hf 2.97-3.01
Ti  0.8388  0.1612  0.2500  8 Ti 2.90-3.11, 4 Hf 2.97-3.01
Ti  0.8388  0.6777  0.2500  8 Ti 2.90-3.11, 4 Hf 2.97-3.01



[6]
Here is a relaxed structure of RbBa2I2 from the Alexandria database. Energies are from PBE.

Summary:
* energy relative to the elements, uncorrected: -0.878 eV per atom
* D(E_F): 2.3 states/eV per cell
* space-group type: I4/mmm (139)
* distance to the lowest polymorph of the same formula: 73 meV/atom
* mass density: 3.7 g cm⁻³

a b c (Å): 9.6397 9.6397 9.6397
angles (deg): 146.24 146.24 48.49
Closest atoms and distances in Å follow each position.
Positions (direct):
Rb  0.0000  0.0000  0.0000  8 I 4.46
Ba  0.2500  0.7500  0.5000  4 I 3.65, 4 Ba 3.96
Ba  0.7500  0.2500  0.5000  4 I 3.65, 4 Ba 3.96
I  0.3831  0.3831  0.0000  4 Ba 3.65
I  0.6169  0.6169  0.0000  4 Ba 3.65



[7]
Here is a relaxed structure of Zr2ZnCd from the Alexandria database. Energies are from PBE.

Summary:
* ΔE_f: -57 meV per atom
* D(E_F): 2.8 states/eV per cell
* space-group type: Pmm2 (25)
* distance to the lowest polymorph of the same formula: 125 meV/atom
* mass density: 7.2 g cm⁻³

a b c (Å): 3.2165 4.1182 6.2876
angles (deg): 90.00 90.00 90.00
Closest atoms and distances in Å follow each position.
Positions (direct):
Zr  0.0000  0.0000  0.0000  4 Zn 2.98, 2 Cd 3.01-3.27, 6 Zr 3.09-3.22
Zr  0.5000  0.5000  0.2626  4 Cd 3.08, 2 Zn 3.08-3.21, 6 Zr 3.09-3.22
Zn  0.5000  0.5000  0.7731  6 Zr 2.98-3.21, 4 Cd 3.06, 2 Zn 3.22
Cd  0.0000  0.0000  0.5208  6 Zr 3.01-3.27, 4 Zn 3.06, 2 Cd 3.22



[8]
Here is a relaxed structure of Pa2VTc from the Alexandria database. Energies are from PBE.

Summary:
* ΔE_f: 115 meV per atom
* D(E_F): 5.7 states/eV per cell
* space-group type: P4/mmm (123)
* distance to the lowest polymorph of the same formula: 0 meV/atom
* mass density: 12.5 g cm⁻³

a b c (Å): 4.9236 4.9236 3.3577
angles (deg): 90.00 90.00 90.00
Closest atoms and distances in Å follow each position.
Positions (direct):
Pa  0.0000  0.5000  0.0000  4 Tc 2.98, 4 V 2.98
Pa  0.5000  0.0000  0.0000  4 Tc 2.98, 4 V 2.98
V  0.0000  0.0000  0.5000  8 Pa 2.98
Tc  0.5000  0.5000  0.5000  8 Pa 2.98



[9]
Here is a relaxed structure of Li2RePb2 from the Alexandria database. Energies are from PBE.

Summary:
* ΔE_f: 686 meV per atom
* D(E_F): 3.8 states/eV per cell
* space-group type: I4/mmm (139)
* mass density: 10.9 g cm⁻³

a b c (Å): 5.1286 5.1286 5.1286
angles (deg): 121.42 121.42 87.56
Closest atoms and distances in Å follow each position.
Positions (direct):
Li  0.1451  0.1451  0.0000  1 Li 2.15
Li  0.8549  0.8549  0.0000  1 Li 2.15
Re  0.5000  0.5000  0.0000  2 Li 2.63
Pb  0.2500  0.7500  0.5000  4 Li 2.63
Pb  0.7500  0.2500  0.5000  4 Li 2.63



[10]
Here is a relaxed structure of AcHo2Zn9 from the Alexandria database. Energies are from PBE.

Summary:
* ΔE_f: -302 meV per atom
* D(E_F): 8.3 states/eV per cell
* space-group type: R-3m (166)
* mass density: 8.2 g cm⁻³

a b c (Å): 9.2034 9.2034 9.2034
angles (deg): 35.22 35.22 35.22
Closest atoms and distances in Å follow each position.
Positions (direct):
Ac  0.0000  0.0000  0.0000  18 Zn 3.22-3.54
Ho  0.1436  0.1436  0.1436  12 Zn 3.14-3.27, 3 Ho 3.43
Ho  0.8564  0.8564  0.8564  12 Zn 3.14-3.27, 3 Ho 3.43
Zn  0.0761  0.5889  0.5889  7 Zn 2.69-2.86
Zn  0.3358  0.3358  0.3358  6 Zn 2.69-2.74
Zn  0.4111  0.4111  0.9239  7 Zn 2.69-2.86
Zn  0.4111  0.9239  0.4111  7 Zn 2.69-2.86
Zn  0.5000  0.5000  0.5000  6 Zn 2.69
Zn  0.5889  0.0761  0.5889  7 Zn 2.69-2.86
Zn  0.5889  0.5889  0.0761  7 Zn 2.69-2.86
Zn  0.6642  0.6642  0.6642  6 Zn 2.69-2.74
Zn  0.9239  0.4111  0.4111  7 Zn 2.69-2.86



[11]
Here is a relaxed structure of Pm4DyTl2 from the Alexandria database. Energies are from PBE.

Summary:
* ΔE_f: 33 meV per atom
* D(E_F): 12.3 states/eV per cell
* space-group type: R-3m (166)
* distance to the lowest polymorph of the same formula: 0 meV/atom
* mass density: 7.9 g cm⁻³

a b c (Å): 9.5366 9.5366 9.5366
angles (deg): 34.02 34.02 34.02
Closest atoms and distances in Å follow each position.
Positions (direct):
Pm  0.1307  0.1307  0.1307  3 Dy 3.36, 7 Pm 3.66-3.76
Pm  0.2671  0.2671  0.2671  4 Tl 3.18-3.24
Pm  0.7329  0.7329  0.7329  4 Tl 3.18-3.24
Pm  0.8693  0.8693  0.8693  3 Dy 3.36, 7 Pm 3.66-3.76
Dy  0.5000  0.5000  0.5000  2 Tl 3.09, 6 Pm 3.36
Tl  0.3852  0.3852  0.3852  1 Dy 3.09, 4 Pm 3.18-3.24
Tl  0.6148  0.6148  0.6148  1 Dy 3.09, 4 Pm 3.18-3.24



[12]
Here is a relaxed structure of SbTeN3 from the Alexandria database. Energies are from PBE.

Summary:
* energy relative to the elements, uncorrected: 1.433 eV per atom
* D(E_F): 1.2 states/eV per cell
* space-group type: Pm-3m (221)
* mass density: 7.5 g cm⁻³

a b c (Å): 4.0040 4.0040 4.0040
angles (deg): 90.00 90.00 90.00
Closest atoms and distances in Å follow each position.
Positions (direct):
Sb  0.0000  0.0000  0.0000  12 N 2.83
Te  0.5000  0.5000  0.5000  6 N 2.00
N  0.0000  0.5000  0.5000  2 Te 2.00
N  0.5000  0.0000  0.5000  2 Te 2.00
N  0.5000  0.5000  0.0000  2 Te 2.00



[13]
Here is a relaxed structure of Hf8Zn3Sn2 from the Alexandria database. Energies are from PBE.

Summary:
* ΔE_f: 91 meV per atom
* D(E_F): 8.7 states/eV per cell
* space-group type: Cmmm (65)
* mass density: 10.7 g cm⁻³

a b c (Å): 8.2654 8.2654 4.5777
angles (deg): 90.00 90.00 112.26
Closest atoms and distances in Å follow each position.
Positions (direct):
Hf  0.1133  0.8867  0.0000  2 Zn 2.79, 2 Sn 2.93, 1 Hf 3.11
Hf  0.1300  0.3666  0.5000  3 Zn 2.81-2.83, 2 Sn 2.88-2.97
Hf  0.3666  0.1300  0.5000  3 Zn 2.81-2.83, 2 Sn 2.88-2.97
Hf  0.3765  0.6235  0.0000  4 Zn 2.85, 2 Sn 2.90
Hf  0.6235  0.3765  0.0000  4 Zn 2.85, 2 Sn 2.90
Hf  0.6334  0.8700  0.5000  3 Zn 2.81-2.83, 2 Sn 2.88-2.97
Hf  0.8700  0.6334  0.5000  3 Zn 2.81-2.83, 2 Sn 2.88-2.97
Hf  0.8867  0.1133  0.0000  2 Zn 2.79, 2 Sn 2.93, 1 Hf 3.11
Zn  0.2513  0.2513  0.0000  8 Hf 2.79-2.85
Zn  0.5000  0.5000  0.5000  8 Hf 2.83-2.85
Zn  0.7487  0.7487  0.0000  8 Hf 2.79-2.85
Sn  0.2463  0.7537  0.5000  8 Hf 2.88-2.97
Sn  0.7537  0.2463  0.5000  8 Hf 2.88-2.97



[14]
Here is a relaxed structure of TiV3Zn from the Alexandria database. Energies are from PBE.

Summary:
* ΔE_f: 1249 meV per atom
* D(E_F): 11.0 states/eV per cell
* space-group type: Pm-3m (221)
* distance to the lowest polymorph of the same formula: 30 meV/atom
* mass density: 5.0 g cm⁻³

a b c (Å): 4.4591 4.4591 4.4591
angles (deg): 90.00 90.00 90.00
Closest atoms and distances in Å follow each position.
Positions (direct):
Ti  0.0000  0.0000  0.0000  12 V 3.15
V  0.0000  0.5000  0.5000  2 Zn 2.23
V  0.5000  0.0000  0.5000  2 Zn 2.23
V  0.5000  0.5000  0.0000  2 Zn 2.23
Zn  0.5000  0.5000  0.5000  6 V 2.23



[15]
Here is a relaxed structure of CrIN2 from the Alexandria database. Energies are from PBE.

Summary:
* energy relative to the elements, uncorrected: 0.715 eV per atom
* D(E_F): 4.9 states/eV per cell
* space-group type: R-3m (166)
* distance to the lowest polymorph of the same formula: 369 meV/atom
* mass density: 6.5 g cm⁻³

a b c (Å): 6.7193 6.7193 6.7193
angles (deg): 26.41 26.41 26.41
Closest atoms and distances in Å follow each position.
Positions (direct):
Cr  0.0000  0.0000  0.0000  6 N 2.04
I  0.5000  0.5000  0.5000  2 N 2.24
N  0.3848  0.3848  0.3848  3 Cr 2.04, 1 I 2.24
N  0.6152  0.6152  0.6152  3 Cr 2.04, 1 I 2.24



[16]
Here is a relaxed structure of Ca2BeSe from the Alexandria database. Energies are from PBE.

Summary:
* energy relative to the elements, uncorrected: -0.351 eV per atom
* D(E_F): 1.6 states/eV per cell
* space-group type: I-42d (122)
* distance to the lowest polymorph of the same formula: 241 meV/atom
* mass density: 2.5 g cm⁻³

a b c (Å): 6.6361 6.6361 6.6361
angles (deg): 108.86 108.86 110.69
Closest atoms and distances in Å follow each position.
Positions (direct):
Ca  0.1165  0.6250  0.9915  2 Se 2.84, 2 Be 2.93
Ca  0.3750  0.3665  0.4915  2 Se 2.84, 2 Be 2.93
Ca  0.6335  0.1250  0.0085  2 Se 2.84, 2 Be 2.93
Ca  0.8750  0.8835  0.5085  2 Se 2.84, 2 Be 2.93
Be  0.2500  0.7500  0.5000  4 Ca 2.93
Be  0.5000  0.5000  0.0000  4 Ca 2.93
Se  0.0000  0.0000  0.0000  4 Ca 2.84
Se  0.7500  0.2500  0.5000  4 Ca 2.84



Number 1: uncorrected energy -22.165 eV/cell, magnetic moment 1.8 μB/cell. Number 2: uncorrected energy -69.162 eV/cell, magnetic moment 0.0 μB/cell. Number 3: uncorrected energy -9.402 eV/cell, magnetic moment 0.0 μB/cell. Number 4: uncorrected energy -33.094 eV/cell, magnetic moment 0.0 μB/cell. Number 5: uncorrected energy -67.105 eV/cell, magnetic moment 0.0 μB/cell. Number 6: uncorrected energy -12.304 eV/cell, magnetic moment 2.6 μB/cell. Number 7: uncorrected energy -19.515 eV/cell, magnetic moment 0.0 μB/cell. Number 8: uncorrected energy -38.015 eV/cell, magnetic moment 1.8 μB/cell. Number 9: uncorrected energy -20.262 eV/cell, magnetic moment 0.0 μB/cell. Number 10: uncorrected energy -28.349 eV/cell, magnetic moment 0.0 μB/cell. Number 11: uncorrected energy -28.109 eV/cell, magnetic moment 0.0 μB/cell. Number 12: uncorrected energy -25.076 eV/cell, magnetic moment 0.0 μB/cell. Number 13: uncorrected energy -90.273 eV/cell, magnetic moment 0.0 μB/cell. Number 14: uncorrected energy -30.278 eV/cell, magnetic moment 0.0 μB/cell. Number 15: uncorrected energy -24.963 eV/cell, magnetic moment 0.1 μB/cell. Number 16: uncorrected energy -25.237 eV/cell, magnetic moment 0.0 μB/cell.